Compound: Ge2MoF8
Source: Alexandria via LeMat-Bulk
Functional: GGA+U
Structure: optimized geometry

The structure in CIF format:
```
data_Ge2MoF8
_cell_length_a 6.7614
_cell_length_b 6.7614
_cell_length_c 4.9022
_cell_angle_alpha 90.00
_cell_angle_beta 90.00
_cell_angle_gamma 120.00
_symmetry_space_group_name_H-M 'P -3 m 1'
_symmetry_Int_Tables_number 164
_symmetry_space_group_name_Hall '-P 3 2"'
loop_
_atom_site_label
_atom_site_fract_x
_atom_site_fract_y
_atom_site_fract_z
_atom_site_occupancy
Ge1 0.3333 0.6667 0.2133 1
Mo1 0.0000 0.0000 0.0000 1
F1 0.1426 0.2852 0.2280 1
F2 0.3333 0.6667 0.5788 1
```

Values from the calculation:
- Energy relative to the lowest polymorph listed for this composition: 114.2 meV per atom